Run A
PBE-GGA AcInNi, relaxed; space-group type = P-6m2 (187); total magnetic moment = 0.000 μB per atom
1.0
4.300 0.000 0.000
0.000 4.615 0.000
0.000 -2.308 3.997
Ac In Ni
1 1 1
direct
0.667 0.667 0.333
0.167 0.333 0.667
0.166 0.000 0.000

Run B
PBE-GGA AcInNi, relaxed; space-group type = C2/m (12); total magnetic moment = 0.000 μB per atom
1.0
-1.674 -3.553 2.255
4.485 -0.074 3.212
-2.823 5.561 2.118
Ac Ni In
2 2 2
direct
0.127 0.312 0.255
0.873 0.688 0.745
0.213 0.865 0.426
0.787 0.135 0.574
0.405 0.193 0.810
0.595 0.807 0.190

Each structure's energy above the most stable one, in eV/atom: run A 0.113; run B 0.000.

Run A
PBE-GGA AcIn3Ni2, relaxed; space-group type = C2/m (12); total magnetic moment = 0.000 μB per atom
1.0
-3.947 0.592 1.778
-0.527 -7.145 -4.159
3.399 -0.885 7.840
Ni In Ac
4 6 2
direct
0.173 0.346 0.632
0.489 0.978 0.852
0.827 0.654 0.368
0.511 0.022 0.148
0.325 0.651 0.563
0.018 0.036 0.345
0.982 0.964 0.655
0.630 0.261 0.758
0.675 0.349 0.437
0.370 0.739 0.242
0.138 0.276 0.086
0.862 0.724 0.914

Run B
PBE-GGA AcIn3Ni2, relaxed; space-group type = P6/mmm (191); total magnetic moment = 0.000 μB per atom
1.0
4.174 0.000 0.000
0.000 5.213 -3.002
0.000 -0.008 6.015
Ni In Ac
2 3 1
direct
0.000 0.334 0.667
0.000 0.668 0.334
0.500 0.501 0.000
0.500 0.501 0.500
0.500 0.001 0.500
0.000 0.001 0.000

Each structure's energy above the most stable one, in eV/atom: run A 0.028; run B 0.000.

Run A
PBE-GGA AcInO, relaxed; space-group type = P4/nmm (129); total magnetic moment = 0.000 μB per atom
1.0
-0.288 -2.565 -2.477
3.548 -0.454 0.058
-1.095 -7.544 7.941
O Ac In
2 2 2
direct
0.000 0.500 0.918
0.500 0.000 0.082
0.000 0.500 0.145
0.500 0.000 0.855
0.000 0.500 0.593
0.500 0.000 0.407

Run B
PBE-GGA AcInO, relaxed; space-group type = P4/nmm (129); total magnetic moment = 0.000 μB per atom
1.0
4.222 0.000 -0.001
0.000 4.222 0.001
0.001 -0.001 8.903
In Ac O
2 2 2
direct
0.750 0.250 0.075
0.250 0.750 0.925
0.250 0.750 0.357
0.750 0.250 0.643
0.750 0.750 0.500
0.250 0.250 0.500

Each structure's energy above the most stable one, in eV/atom: run A 0.168; run B 0.000.

Run A
PBE-GGA Ac4In2Os, relaxed; space-group type = I4/mmm (139); total magnetic moment = 0.000 μB per atom
1.0
5.730 0.000 0.000
0.000 5.730 0.000
-2.865 -2.865 8.383
In Ac Os
2 4 1
direct
0.374 0.374 0.748
0.626 0.626 0.252
0.000 0.500 0.000
0.500 0.000 0.000
0.176 0.176 0.351
0.824 0.824 0.649
0.000 0.000 0.000

Run B
PBE-GGA Ac4In2Os, relaxed; space-group type = C2/m (12); total magnetic moment = 0.000 μB per atom
1.0
4.294 0.000 1.300
1.835 6.746 1.679
-0.285 0.176 8.683
Ac In Os
4 2 1
direct
0.088 0.172 0.652
0.912 0.828 0.348
0.660 0.736 0.944
0.340 0.264 0.056
0.626 0.399 0.348
0.374 0.601 0.652
0.000 0.000 0.000

Each structure's energy above the most stable one, in eV/atom: run A 0.117; run B 0.000.

Run A
PBE-GGA AcInP2, relaxed; space-group type = R-3m (166); total magnetic moment = 0.000 μB per atom
1.0
-4.255 -0.367 0.162
-2.235 -0.566 -3.599
-1.585 -6.734 -0.495
P Ac In
2 1 1
direct
0.259 0.259 0.222
0.741 0.741 0.778
0.500 0.500 0.500
0.000 0.000 0.000

Run B
PBE-GGA AcInP2, relaxed; space-group type = P4/mmm (123); total magnetic moment = 0.000 μB per atom
1.0
-3.397 1.842 0.488
-2.312 -3.622 -2.421
-0.691 -2.401 4.252
P In Ac
2 1 1
direct
0.000 0.500 0.000
0.000 0.000 0.500
0.500 0.000 0.000
0.500 0.500 0.500

Run C
PBE-GGA AcInP2, relaxed; space-group type = P4/mmm (123); total magnetic moment = 0.000 μB per atom
1.0
3.895 0.000 0.000
0.000 3.895 0.000
0.000 0.000 6.277
In P Ac
1 2 1
direct
0.500 0.500 0.000
0.000 0.000 0.798
0.000 0.000 0.202
0.500 0.500 0.500

Each structure's energy above the most stable one, in eV/atom: run A 0.000; run B 0.126; run C 0.286.

Run A
PBE-GGA Ac3InP, relaxed; space-group type = Pnma (62); total magnetic moment = 0.000 μB per atom
1.0
-0.322 3.534 2.450
4.095 -4.897 7.602
15.593 5.006 -5.174
Ac P In
12 4 4
direct
0.750 0.018 0.608
0.750 0.165 0.032
0.250 0.164 0.806
0.250 0.482 0.108
0.250 0.664 0.694
0.250 0.335 0.532
0.750 0.518 0.892
0.250 0.982 0.392
0.250 0.835 0.968
0.750 0.336 0.306
0.750 0.665 0.468
0.750 0.836 0.194
0.250 0.828 0.547
0.750 0.672 0.047
0.250 0.328 0.953
0.750 0.172 0.453
0.750 0.870 0.805
0.250 0.130 0.195
0.250 0.630 0.305
0.750 0.370 0.695

Run B
PBE-GGA Ac3InP, relaxed; space-group type = Pm-3m (221); total magnetic moment = 0.000 μB per atom
1.0
5.828 0.000 0.000
0.000 5.828 0.000
0.000 0.000 5.828
In P Ac
1 1 3
direct
0.500 0.500 0.500
0.000 0.000 0.000
0.000 0.000 0.500
0.500 0.000 0.000
0.000 0.500 0.000

Each structure's energy above the most stable one, in eV/atom: run A 0.000; run B 0.147.

Run A
PBE-GGA AcInP, relaxed; space-group type = P3m1 (156); total magnetic moment = 0.000 μB per atom
1.0
4.566 0.000 0.000
-2.283 3.954 0.000
0.000 0.000 4.772
P Ac In
1 1 1
direct
0.667 0.333 0.400
0.000 0.000 0.031
0.333 0.667 0.570

Run B
PBE-GGA AcInP, relaxed; space-group type = I4mm (107); total magnetic moment = 0.000 μB per atom
1.0
3.749 0.000 0.000
0.000 3.749 0.000
-1.874 -1.874 5.737
P In Ac
1 1 1
direct
0.677 0.677 0.354
0.303 0.303 0.607
0.020 0.020 0.039

Each structure's energy above the most stable one, in eV/atom: run A 0.000; run B 0.112.

Run A
PBE-GGA Ac4In2P, relaxed; space-group type = I4/mmm (139); total magnetic moment = 0.000 μB per atom
1.0
-5.324 1.367 -2.014
-1.219 -5.690 -0.640
0.318 1.934 8.978
Ac P In
4 1 2
direct
0.182 0.182 0.363
0.818 0.818 0.637
0.500 0.000 0.000
0.000 0.500 0.000
0.000 0.000 0.000
0.383 0.383 0.767
0.617 0.617 0.233

Run B
PBE-GGA Ac4In2P, relaxed; space-group type = C2/m (12); total magnetic moment = 0.000 μB per atom
1.0
-3.096 0.197 -3.634
0.801 -5.672 -4.131
-6.394 -5.230 2.023
Ac In P
4 2 1
direct
0.332 0.257 0.079
0.915 0.805 0.365
0.668 0.743 0.921
0.085 0.195 0.635
0.375 0.588 0.662
0.625 0.412 0.338
0.000 0.000 0.000

Each structure's energy above the most stable one, in eV/atom: run A 0.146; run B 0.000.

Run A
PBE-GGA Ac2PaIn, relaxed; space-group type = R-3m (166); total magnetic moment = 0.000 μB per atom
1.0
3.509 0.000 0.000
1.755 3.039 0.000
1.755 1.013 12.661
In Ac Pa
1 2 1
direct
0.500 0.500 0.500
0.910 0.910 0.269
0.090 0.090 0.731
0.000 0.000 0.000

Run B
PBE-GGA Ac2PaIn, relaxed; space-group type = P4/mmm (123); total magnetic moment = 0.110 μB per atom
1.0
3.671 0.000 0.000
0.000 3.671 0.000
0.000 0.000 9.992
Pa In Ac
1 1 2
direct
0.500 0.500 0.500
0.500 0.500 0.000
0.000 0.000 0.247
0.000 0.000 0.753

Each structure's energy above the most stable one, in eV/atom: run A 0.292; run B 0.000.

Run A
PBE-GGA AcInPb, relaxed; space-group type = I4mm (107); total magnetic moment = 0.001 μB per atom
1.0
3.986 0.000 0.000
0.000 3.986 0.000
-1.993 -1.993 6.159
Ac In Pb
1 1 1
direct
0.621 0.621 0.243
0.301 0.301 0.602
0.928 0.928 0.856

Run B
PBE-GGA AcInPb, relaxed; space-group type = Cmcm (63); total magnetic moment = 0.000 μB per atom
1.0
-6.126 -0.325 -0.536
-0.231 -4.479 5.351
2.616 3.713 3.221
Ac Pb In
2 2 2
direct
0.337 0.250 0.175
0.663 0.750 0.825
0.000 0.500 0.500
0.000 0.000 0.500
0.307 0.750 0.114
0.693 0.250 0.886

Each structure's energy above the most stable one, in eV/atom: run A 0.049; run B 0.000.

Run A
PBE-GGA Ac6In2Pb, relaxed; space-group type = P2_1/c (14); total magnetic moment = 0.000 μB per atom
1.0
6.758 0.000 0.554
0.000 9.857 0.000
-0.010 0.000 10.774
Ac In Pb
12 4 2
direct
0.385 0.536 0.706
0.395 0.835 0.064
0.895 0.665 0.564
0.083 0.321 0.060
0.885 0.964 0.206
0.105 0.335 0.436
0.605 0.165 0.936
0.417 0.821 0.440
0.583 0.179 0.560
0.917 0.679 0.940
0.115 0.036 0.794
0.615 0.464 0.294
0.920 0.375 0.754
0.420 0.125 0.254
0.080 0.625 0.246
0.580 0.875 0.746
0.500 0.500 0.000
0.000 0.000 0.500

Run B
PBE-GGA Ac6In2Pb, relaxed; space-group type = Immm (71); total magnetic moment = 0.000 μB per atom
1.0
9.134 0.057 -3.452
-4.745 8.079 -2.752
-0.214 -0.057 9.762
Ac In Pb
12 4 2
direct
0.800 0.748 0.548
0.909 0.731 0.178
0.288 0.616 0.328
0.091 0.269 0.822
0.288 0.960 0.672
0.800 0.252 0.052
0.712 0.040 0.328
0.712 0.384 0.672
0.200 0.252 0.452
0.447 0.269 0.178
0.553 0.731 0.822
0.200 0.748 0.948
0.500 0.376 0.876
0.354 0.000 0.354
0.500 0.624 0.124
0.646 0.000 0.646
0.000 0.000 0.000
0.000 0.500 0.500

Each structure's energy above the most stable one, in eV/atom: run A 0.069; run B 0.000.

Run A
PBE-GGA AcPmInPb, relaxed; space-group type = Amm2 (38); total magnetic moment = 0.001 μB per atom
1.0
4.854 0.000 0.000
0.000 4.556 0.000
-2.427 0.000 6.144
Ac Pb Pm In
1 1 1 1
direct
0.860 0.500 0.721
0.586 0.500 0.172
0.135 0.000 0.270
0.418 0.000 0.837

Run B
PBE-GGA AcPmInPb, relaxed; space-group type = F-43m (216); total magnetic moment = 0.000 μB per atom
1.0
-2.641 -5.007 -0.509
2.289 -4.108 -3.192
2.187 -4.630 2.467
Pb In Ac Pm
1 1 1 1
direct
0.750 0.750 0.750
0.250 0.250 0.250
0.500 0.500 0.500
0.000 0.000 0.000

Each structure's energy above the most stable one, in eV/atom: run A 0.000; run B 0.058.